DFT (GGA-PBE) results for an optimized crystal structure of P3Ru2N.

The structure in CIF format:
```
data_P3Ru2N
_chemical_formula_sum 'P3 Ru2 N1'
_symmetry_space_group_name_H-M 'P 1'
_symmetry_Int_Tables_number 1
_symmetry_space_group_name_Hall 'P 1'
_cell_length_a 4.024
_cell_length_b 4.511
_cell_length_c 4.894
_cell_angle_alpha 99.41
_cell_angle_beta 99.76
_cell_angle_gamma 92.02
loop_
_atom_site_label
_atom_site_type_symbol
_atom_site_fract_x
_atom_site_fract_y
_atom_site_fract_z
P1 P 0.862 0.730 0.286
P2 P 0.197 0.303 0.569
P3 P 0.853 0.973 0.914
N1 N 0.226 0.126 0.869
Ru1 Ru 0.425 0.788 0.552
Ru2 Ru 0.651 0.246 0.278
```

Summary:
SG: No. 1
ΔE_f (raw) in eV/atom: -0.1156



DFT (GGA-PBE) results for an optimized crystal structure of PRuN3.

The structure in CIF format:
```
data_PRuN3
_chemical_formula_sum 'P1 Ru1 N3'
_symmetry_space_group_name_H-M 'P 1'
_symmetry_Int_Tables_number 1
_symmetry_space_group_name_Hall 'P 1'
_cell_length_a 3.858
_cell_length_b 3.858
_cell_length_c 3.858
_cell_angle_alpha 90.00
_cell_angle_beta 90.00
_cell_angle_gamma 90.00
loop_
_atom_site_label
_atom_site_type_symbol
_atom_site_fract_x
_atom_site_fract_y
_atom_site_fract_z
N1 N 0.000 0.000 0.500
N2 N 0.500 0.000 0.000
N3 N 0.000 0.500 0.000
Ru1 Ru 0.000 0.000 0.000
P1 P 0.500 0.500 0.500
```

Summary:
SG: No. 221
ΔE_f (raw) in eV/atom: 1.6972



DFT (GGA-PBE) results for an optimized crystal structure of P3RuN.

The structure in CIF format:
```
data_P3RuN
_chemical_formula_sum 'P6 Ru2 N2'
_symmetry_space_group_name_H-M 'P 1'
_symmetry_Int_Tables_number 1
_symmetry_space_group_name_Hall 'P 1'
_cell_length_a 5.244
_cell_length_b 2.787
_cell_length_c 10.606
_cell_angle_alpha 90.00
_cell_angle_beta 117.14
_cell_angle_gamma 90.00
loop_
_atom_site_label
_atom_site_type_symbol
_atom_site_fract_x
_atom_site_fract_y
_atom_site_fract_z
N1 N 0.169 0.500 0.024
N2 N 0.169 0.000 0.524
P1 P 0.742 0.000 0.153
P2 P 0.579 0.500 0.814
P3 P 0.742 0.500 0.653
P4 P 0.264 0.000 0.965
P5 P 0.579 0.000 0.314
P6 P 0.264 0.500 0.465
Ru1 Ru 0.163 0.500 0.229
Ru2 Ru 0.163 0.000 0.729
```

Summary:
SG: No. 8
ΔE_f (raw) in eV/atom: -0.0948



DFT (GGA-PBE) results for an optimized crystal structure of PRuSN2.

The structure in CIF format:
```
data_PRuSN2
_chemical_formula_sum 'P1 Ru1 S1 N2'
_symmetry_space_group_name_H-M 'P 1'
_symmetry_Int_Tables_number 1
_symmetry_space_group_name_Hall 'P 1'
_cell_length_a 3.745
_cell_length_b 3.745
_cell_length_c 5.217
_cell_angle_alpha 90.00
_cell_angle_beta 90.00
_cell_angle_gamma 90.00
loop_
_atom_site_label
_atom_site_type_symbol
_atom_site_fract_x
_atom_site_fract_y
_atom_site_fract_z
Ru1 Ru 0.000 0.000 0.000
P1 P 0.500 0.500 0.500
N1 N 0.500 0.000 0.000
N2 N 0.000 0.500 0.000
S1 S 0.000 0.000 0.500
```

Summary:
SG: No. 123
ΔE_f (raw) in eV/atom: 1.0827



DFT (GGA-PBE) results for an optimized crystal structure of PRuS2N.

The structure in CIF format:
```
data_PRuS2N
_chemical_formula_sum 'P1 Ru1 S2 N1'
_symmetry_space_group_name_H-M 'P 1'
_symmetry_Int_Tables_number 1
_symmetry_space_group_name_Hall 'P 1'
_cell_length_a 4.609
_cell_length_b 4.609
_cell_length_c 3.140
_cell_angle_alpha 90.00
_cell_angle_beta 90.00
_cell_angle_gamma 90.00
loop_
_atom_site_label
_atom_site_type_symbol
_atom_site_fract_x
_atom_site_fract_y
_atom_site_fract_z
Ru1 Ru 0.500 0.500 0.500
P1 P 0.000 0.000 0.000
N1 N 0.000 0.000 0.500
S1 S 0.500 0.000 0.000
S2 S 0.000 0.500 0.000
```

Summary:
SG: No. 123
ΔE_f (raw) in eV/atom: 0.7801



DFT (GGA-PBE) results for an optimized crystal structure of PRuSN2.

The structure in CIF format:
```
data_PRuSN2
_chemical_formula_sum 'P1 Ru1 S1 N2'
_symmetry_space_group_name_H-M 'P 1'
_symmetry_Int_Tables_number 1
_symmetry_space_group_name_Hall 'P 1'
_cell_length_a 3.277
_cell_length_b 3.277
_cell_length_c 7.915
_cell_angle_alpha 90.00
_cell_angle_beta 90.00
_cell_angle_gamma 90.00
loop_
_atom_site_label
_atom_site_type_symbol
_atom_site_fract_x
_atom_site_fract_y
_atom_site_fract_z
N1 N 0.500 0.000 0.000
N2 N 0.000 0.500 0.000
Ru1 Ru 0.500 0.500 0.500
S1 S 0.000 0.000 0.500
P1 P 0.000 0.000 0.000
```

Summary:
SG: No. 123
ΔE_f (raw) in eV/atom: 0.9355



DFT (GGA-PBE) results for an optimized crystal structure of PRuS2N.

The structure in CIF format:
```
data_PRuS2N
_chemical_formula_sum 'P1 Ru1 S2 N1'
_symmetry_space_group_name_H-M 'P 1'
_symmetry_Int_Tables_number 1
_symmetry_space_group_name_Hall 'P 1'
_cell_length_a 4.081
_cell_length_b 4.081
_cell_length_c 3.853
_cell_angle_alpha 90.00
_cell_angle_beta 90.00
_cell_angle_gamma 90.00
loop_
_atom_site_label
_atom_site_type_symbol
_atom_site_fract_x
_atom_site_fract_y
_atom_site_fract_z
S1 S 0.500 0.000 0.000
S2 S 0.000 0.500 0.000
Ru1 Ru 0.500 0.500 0.500
P1 P 0.000 0.000 0.500
N1 N 0.000 0.000 0.000
```

Summary:
SG: No. 123
ΔE_f (raw) in eV/atom: 1.0859



DFT (GGA-PBE) results for an optimized crystal structure of PRuS2N.

The structure in CIF format:
```
data_PRuS2N
_chemical_formula_sum 'P1 Ru1 S2 N1'
_symmetry_space_group_name_H-M 'P 1'
_symmetry_Int_Tables_number 1
_symmetry_space_group_name_Hall 'P 1'
_cell_length_a 4.753
_cell_length_b 4.753
_cell_length_c 3.638
_cell_angle_alpha 90.00
_cell_angle_beta 90.00
_cell_angle_gamma 90.00
loop_
_atom_site_label
_atom_site_type_symbol
_atom_site_fract_x
_atom_site_fract_y
_atom_site_fract_z
S1 S 0.500 0.000 0.000
S2 S 0.000 0.500 0.000
N1 N 0.000 0.000 0.500
Ru1 Ru 0.000 0.000 0.000
P1 P 0.500 0.500 0.500
```

Summary:
SG: No. 123
ΔE_f (raw) in eV/atom: 0.7623